Arrangement one

A relaxed structure of DyHoCoNi, computed with PBE.

Mass density in g/cm³: 9.4

The structure in extended XYZ format:
```
4
Lattice="-3.7079 0.7898 -0.4926 -0.9181 -2.4898 2.9189 2.2266 3.4995 3.6854" Properties=species:S:1:pos:R:3 pbc="T T T"
Dy 0.1065 1.1134 0.9832
Ho -2.0455 1.9461 3.6824
Co 0.3208 3.3525 2.9606
Ni -2.2626 -0.3232 1.6784
```

Arrangement two

A relaxed structure of DyHoCoNi, computed with PBE.

Mass density in g/cm³: 9.9

The structure in extended XYZ format:
```
4
Lattice="4.7309 0.0000 0.0000 2.3655 4.0971 0.0000 2.3655 1.3657 3.8628" Properties=species:S:1:pos:R:3 pbc="T T T"
Ni 2.3655 1.3657 0.9657
Co 7.0964 4.0971 2.8971
Ho 0.0000 0.0000 0.0000
Dy 4.7309 2.7314 1.9314
```

Verdict on stability: arrangement two comes out at the bottom.